Compound: KLiCr
Source: the Alexandria database
Functional: PBE
Structure: relaxed

Computed properties:
The formation enthalpy at 0 K is 1.187 eV per atom. As for the space group: F-43m. Its energy above the most stable polymorph in this dataset is 440.7 meV/atom. Its total energy is -3.0245 eV per atom.

a = 5.5509 Å, b = 5.5509 Å, c = 5.5509 Å
α = 60.00°, β = 60.00°, γ = 60.00°
Closest atoms and distances in Å follow each position.
Sites, in units of the cell vectors:
K (0.0000, 0.0000, 0.0000)  4 Cr 3.40, 4 Li 3.40
Li (0.7500, 0.7500, 0.7500)  4 K 3.40
Cr (0.2500, 0.2500, 0.2500)  4 K 3.40